[1]
LaMg6Au12: relaxed, PBE.

Geometry as POSCAR:
```
LaMg6Au12
1.0
6.1564 3.5544 2.9702
-6.1564 3.5544 2.9702
0.0000 -7.1089 2.9702
La Mg Au
1 6 12
Direct
0.0000 0.0000 0.0000 La
0.2875 0.2875 0.6979 Mg
0.2875 0.6979 0.2875 Mg
0.3021 0.7125 0.7125 Mg
0.6979 0.2875 0.2875 Mg
0.7125 0.3021 0.7125 Mg
0.7125 0.7125 0.3021 Mg
0.1143 0.3654 0.3654 Au
0.1159 0.5000 0.8841 Au
0.1159 0.8841 0.5000 Au
0.3654 0.1143 0.3654 Au
0.3654 0.3654 0.1143 Au
0.5000 0.1159 0.8841 Au
0.5000 0.8841 0.1159 Au
0.6346 0.6346 0.8857 Au
0.6346 0.8857 0.6346 Au
0.8841 0.1159 0.5000 Au
0.8841 0.5000 0.1159 Au
0.8857 0.6346 0.6346 Au
```

Summary:
spin magnetization: 0.00 μB/f.u.
symmetry: R-3m (166)
energy: -61.91 eV/cell

[2]
Zn2AgMo: relaxed, PBE.

Geometry as POSCAR:
```
Zn2AgMo
1.0
4.4612 -1.3683 0.0000
4.4612 1.3683 0.0000
-0.7684 0.0000 5.2104
Zn Ag Mo
2 1 1
Direct
0.2501 0.2501 0.2342 Zn
0.7499 0.7499 0.7658 Zn
0.0000 0.0000 0.5000 Ag
0.5000 0.5000 0.0000 Mo
```

Summary:
spin magnetization: 0.00 μB/f.u.
symmetry: C2/m (12)
energy: -15.17 eV/cell

[3]
Si2PtRh: relaxed, PBE.

Geometry as POSCAR:
```
Si2PtRh
1.0
1.4475 0.8357 7.7328
-1.4475 0.8357 7.7328
0.0000 -1.6715 7.7328
Si Pt Rh
2 1 1
Direct
0.2468 0.2468 0.2468 Si
0.7532 0.7532 0.7532 Si
0.0000 0.0000 0.0000 Pt
0.5000 0.5000 0.5000 Rh
```

Summary:
spin magnetization: 0.00 μB/f.u.
E_form (uncorrected): -0.48 eV/atom
symmetry: R-3m (166)
energy: -26.16 eV/cell

Q: energy of number 1 (LaMg6Au12)?
A: -61.91 eV/cell

Q: What is the spin magnetization in the second record?
A: 0.00 μB/f.u.